## a
The following is a DFT calculation (PBE) of a relaxed structure of TcPtNO. Values from VASP.

Cell and atoms, written as Quantum ESPRESSO input:
```
&SYSTEM
  ibrav = 0, nat = 16, ntyp = 4
/
ATOMIC_SPECIES
Tc 98.00 Tc.upf
Pt 195.08 Pt.upf
N 14.01 N.upf
O 16.00 O.upf
ATOMIC_POSITIONS crystal
Tc 0.158 0.133 0.000
Tc 0.342 0.133 0.500
Tc 0.658 0.867 0.000
Tc 0.842 0.867 0.500
Pt 0.021 0.456 0.354
Pt 0.479 0.456 0.854
Pt 0.521 0.544 0.354
Pt 0.979 0.544 0.854
N 0.025 0.682 0.545
N 0.475 0.682 0.045
N 0.525 0.318 0.545
N 0.975 0.318 0.045
O 0.008 0.074 0.642
O 0.492 0.074 0.142
O 0.508 0.926 0.642
O 0.992 0.926 0.142
CELL_PARAMETERS angstrom
5.371 0.000 0.000
0.000 7.847 0.000
0.000 0.000 5.214
```

## Properties
SG	No. 29
total moment	0.000	μB/atom

## b
The following is a DFT calculation (PBE) of a relaxed structure of TcPtNO. Values from VASP.

Cell and atoms, written as Quantum ESPRESSO input:
```
&SYSTEM
  ibrav = 0, nat = 8, ntyp = 4
/
ATOMIC_SPECIES
Tc 98.00 Tc.upf
Pt 195.08 Pt.upf
N 14.01 N.upf
O 16.00 O.upf
ATOMIC_POSITIONS crystal
Tc 0.000 0.173 0.000
Tc 0.000 0.827 0.500
Pt 0.500 0.488 0.614
Pt 0.500 0.512 0.114
N 0.500 0.282 0.875
N 0.500 0.718 0.375
O 0.000 0.066 0.306
O 0.000 0.934 0.806
CELL_PARAMETERS angstrom
3.308 0.000 0.000
0.000 6.590 0.000
0.000 0.000 5.543
```

## Properties
SG	No. 26
total moment	0.001	μB/atom

Which one sits at the bottom of the stability order? a does.

## a
The following is a DFT calculation (PBE) of a relaxed structure of CsCuGeS3. Values from VASP.

Cell and atoms, written as Quantum ESPRESSO input:
```
&SYSTEM
  ibrav = 0, nat = 12, ntyp = 4
/
ATOMIC_SPECIES
Cs 132.91 Cs.upf
Cu 63.55 Cu.upf
Ge 72.64 Ge.upf
S 32.06 S.upf
ATOMIC_POSITIONS crystal
Cs 0.225 0.250 0.268
Cs 0.775 0.750 0.732
Cu 0.067 0.250 0.587
Cu 0.933 0.750 0.413
Ge 0.333 0.750 0.861
Ge 0.667 0.250 0.139
S 0.147 0.250 0.854
S 0.217 0.750 0.576
S 0.474 0.750 0.138
S 0.526 0.250 0.862
S 0.783 0.250 0.424
S 0.853 0.750 0.146
CELL_PARAMETERS angstrom
8.956 0.000 0.000
0.000 3.794 0.000
-4.085 0.000 8.600
```

## Properties
SG	No. 11

## b
The following is a DFT calculation (PBE) of a relaxed structure of CsCuGeS3. Values from VASP.

Cell and atoms, written as Quantum ESPRESSO input:
```
&SYSTEM
  ibrav = 0, nat = 12, ntyp = 4
/
ATOMIC_SPECIES
Cs 132.91 Cs.upf
Cu 63.55 Cu.upf
Ge 72.64 Ge.upf
S 32.06 S.upf
ATOMIC_POSITIONS crystal
Cs 0.237 0.763 0.750
Cs 0.763 0.237 0.250
Cu 0.048 0.952 0.250
Cu 0.952 0.048 0.750
Ge 0.500 0.500 0.000
Ge 0.500 0.500 0.500
S 0.107 0.893 0.045
S 0.107 0.893 0.455
S 0.458 0.542 0.250
S 0.542 0.458 0.750
S 0.893 0.107 0.545
S 0.893 0.107 0.955
CELL_PARAMETERS angstrom
1.824 -7.770 0.000
1.824 7.770 0.000
0.000 0.000 10.141
```

## Properties
SG	No. 63

Which one sits at the bottom of the stability order? b does.